The following is a PBE+U calculation of a relaxed structure of SrVO3, from the Alexandria database.

Output
- Uncorrected energy: -142.4 eV/cell

Structure (extended XYZ):
```
20
Lattice="6.963 0.000 0.000 0.000 7.158 0.000 -6.943 0.000 7.363" Properties=species:S:1:pos:R:3 pbc="T T T"
Sr 0.829 1.781 0.694
Sr -2.642 1.798 4.376
Sr 2.662 5.360 2.987
Sr -0.810 5.378 6.668
V -0.606 4.002 2.753
V -4.077 6.735 6.435
V 4.097 0.423 0.928
V 0.625 3.156 4.609
O -2.329 3.978 2.887
O -5.801 6.759 6.568
O 0.338 4.304 1.298
O -3.134 6.434 4.979
O -3.650 1.376 6.859
O -0.178 2.203 3.177
O 0.198 4.955 4.185
O 3.670 5.782 0.504
O 3.153 0.725 2.383
O -0.318 2.855 6.064
O 5.820 0.399 0.794
O 2.349 3.180 4.476
```